(1)
## PaNi2Sn2 (PBE)

Data for an optimized crystal structure of PaNi2Sn2.

Properties
Total moment ... 0.000 μB per atom
DFT total energy ... -6.114 eV/atom
Energy of formation from the pure elements ... -301 meV/atom

Geometry as CIF:
```
data_PaNi2Sn2
_chemical_formula_sum 'Pa2 Ni4 Sn4'
_symmetry_space_group_name_H-M 'P 1 21/m 1'
_symmetry_Int_Tables_number 11
_symmetry_space_group_name_Hall '-P 2yb'
_cell_length_a 4.806
_cell_length_b 4.296
_cell_length_c 9.887
_cell_angle_alpha 90.00
_cell_angle_beta 94.88
_cell_angle_gamma 90.00
loop_
_atom_site_label
_atom_site_type_symbol
_atom_site_fract_x
_atom_site_fract_y
_atom_site_fract_z
Pa1 Pa 0.184 0.250 0.144
Ni1 Ni 0.225 0.750 0.334
Ni2 Ni 0.323 0.750 0.963
Sn1 Sn 0.247 0.250 0.490
Sn2 Sn 0.304 0.250 0.800
```

(2)
## PaNi7Sn2 (PBE)

Data for an optimized crystal structure of PaNi7Sn2.

Properties
Total moment ... 0.000 μB per atom
DFT total energy ... -5.713 eV/atom
Energy of formation from the pure elements ... 84 meV/atom

Geometry as CIF:
```
data_PaNi7Sn2
_chemical_formula_sum 'Pa2 Ni14 Sn4'
_symmetry_space_group_name_H-M 'C m m m'
_symmetry_Int_Tables_number 65
_symmetry_space_group_name_Hall '-C 2 2'
_cell_length_a 6.700
_cell_length_b 12.742
_cell_length_c 4.176
_cell_angle_alpha 90.00
_cell_angle_beta 90.00
_cell_angle_gamma 90.00
loop_
_atom_site_label
_atom_site_type_symbol
_atom_site_fract_x
_atom_site_fract_y
_atom_site_fract_z
Pa1 Pa 0.000 0.000 0.000
Ni1 Ni 0.000 0.187 0.000
Ni2 Ni 0.000 0.500 0.500
Ni3 Ni 0.178 0.101 0.500
Sn1 Sn 0.000 0.299 0.500
```

(3)
## PaNi4Sn (PBE)

Data for an optimized crystal structure of PaNi4Sn.

Properties
Total moment ... 0.000 μB per atom
DFT total energy ... -6.485 eV/atom
Energy of formation from the pure elements ... -381 meV/atom

Geometry as CIF:
```
data_PaNi4Sn
_chemical_formula_sum 'Pa4 Ni16 Sn4'
_symmetry_space_group_name_H-M 'F -4 3 m'
_symmetry_Int_Tables_number 216
_symmetry_space_group_name_Hall 'F -4 2 3'
_cell_length_a 7.091
_cell_length_b 7.091
_cell_length_c 7.091
_cell_angle_alpha 90.00
_cell_angle_beta 90.00
_cell_angle_gamma 90.00
loop_
_atom_site_label
_atom_site_type_symbol
_atom_site_fract_x
_atom_site_fract_y
_atom_site_fract_z
Pa1 Pa 0.000 0.000 0.000
Ni1 Ni 0.125 0.125 0.625
Sn1 Sn 0.250 0.250 0.250
```

(4)
## PaNi3Sn2 (PBE)

Data for an optimized crystal structure of PaNi3Sn2.

Properties
Total moment ... 0.000 μB per atom
DFT total energy ... -5.796 eV/atom
Energy of formation from the pure elements ... 12 meV/atom

Geometry as CIF:
```
data_PaNi3Sn2
_chemical_formula_sum 'Pa8 Ni24 Sn16'
_symmetry_space_group_name_H-M 'F m m m'
_symmetry_Int_Tables_number 69
_symmetry_space_group_name_Hall '-F 2 2'
_cell_length_a 7.654
_cell_length_b 8.651
_cell_length_c 13.834
_cell_angle_alpha 90.00
_cell_angle_beta 90.00
_cell_angle_gamma 90.00
loop_
_atom_site_label
_atom_site_type_symbol
_atom_site_fract_x
_atom_site_fract_y
_atom_site_fract_z
Pa1 Pa 0.000 0.000 0.134
Ni1 Ni 0.000 0.000 0.315
Ni2 Ni 0.000 0.232 0.408
Sn1 Sn 0.183 0.000 0.500
Sn2 Sn 0.250 0.250 0.250
```

(5)
## PaNiSn (PBE)

Data for an optimized crystal structure of PaNiSn.

Properties
Total moment ... 0.157 μB per atom
DFT total energy ... -6.665 eV/atom
Energy of formation from the pure elements ... -238 meV/atom

Geometry as CIF:
```
data_PaNiSn
_chemical_formula_sum 'Pa2 Ni2 Sn2'
_symmetry_space_group_name_H-M 'I 4 m m'
_symmetry_Int_Tables_number 107
_symmetry_space_group_name_Hall 'I 4 -2'
_cell_length_a 3.260
_cell_length_b 3.260
_cell_length_c 11.446
_cell_angle_alpha 90.00
_cell_angle_beta 90.00
_cell_angle_gamma 90.00
loop_
_atom_site_label
_atom_site_type_symbol
_atom_site_fract_x
_atom_site_fract_y
_atom_site_fract_z
Pa1 Pa 0.000 0.000 0.000
Ni1 Ni 0.000 0.000 0.358
Sn1 Sn 0.000 0.000 0.712
```

(6)
## PaNi2Sn (PBE)

Data for an optimized crystal structure of PaNi2Sn.

Properties
Total moment ... 0.000 μB per atom
Polymorph energy (0 for the lowest one) ... 0 meV per atom
DFT total energy ... -6.674 eV/atom
Energy of formation from the pure elements ... -408 meV/atom

Geometry as CIF:
```
data_PaNi2Sn
_chemical_formula_sum 'Pa4 Ni8 Sn4'
_symmetry_space_group_name_H-M 'F m -3 m'
_symmetry_Int_Tables_number 225
_symmetry_space_group_name_Hall '-F 4 2 3'
_cell_length_a 6.551
_cell_length_b 6.551
_cell_length_c 6.551
_cell_angle_alpha 90.00
_cell_angle_beta 90.00
_cell_angle_gamma 90.00
loop_
_atom_site_label
_atom_site_type_symbol
_atom_site_fract_x
_atom_site_fract_y
_atom_site_fract_z
Pa1 Pa 0.000 0.000 0.000
Ni1 Ni 0.250 0.250 0.250
Sn1 Sn 0.000 0.000 0.500
```

(7)
## PaNi8Sn3 (PBE)

Data for an optimized crystal structure of PaNi8Sn3.

Properties
Total moment ... 0.000 μB per atom
DFT total energy ... -5.842 eV/atom
Energy of formation from the pure elements ... -196 meV/atom

Geometry as CIF:
```
data_PaNi8Sn3
_chemical_formula_sum 'Pa1 Ni8 Sn3'
_symmetry_space_group_name_H-M 'P 3 m 1'
_symmetry_Int_Tables_number 156
_symmetry_space_group_name_Hall 'P 3 -2"'
_cell_length_a 5.0042
_cell_length_b 5.0042
_cell_length_c 8.1035
_cell_angle_alpha 90.00
_cell_angle_beta 90.00
_cell_angle_gamma 120.00
loop_
_atom_site_label
_atom_site_type_symbol
_atom_site_fract_x
_atom_site_fract_y
_atom_site_fract_z
Pa1 Pa 0.0000 0.0000 0.0000
Ni1 Ni 0.1668 0.3337 0.6815
Ni2 Ni 0.3333 0.6667 0.4178
Ni3 Ni 0.3333 0.6667 0.9281
Ni4 Ni 0.5016 0.0031 0.1723
Sn1 Sn 0.0000 0.0000 0.3896
Sn2 Sn 0.6667 0.3333 0.4721
Sn3 Sn 0.6667 0.3333 0.8397
```

(8)
## PaNiSn (PBE)

Data for an optimized crystal structure of PaNiSn.

Properties
Total moment ... 0.000 μB per atom
DFT total energy ... -6.868 eV/atom
Energy of formation from the pure elements ... -441 meV/atom

Geometry as CIF:
```
data_PaNiSn
_chemical_formula_sum 'Pa4 Ni4 Sn4'
_symmetry_space_group_name_H-M 'F -4 3 m'
_symmetry_Int_Tables_number 216
_symmetry_space_group_name_Hall 'F -4 2 3'
_cell_length_a 6.420
_cell_length_b 6.420
_cell_length_c 6.420
_cell_angle_alpha 90.00
_cell_angle_beta 90.00
_cell_angle_gamma 90.00
loop_
_atom_site_label
_atom_site_type_symbol
_atom_site_fract_x
_atom_site_fract_y
_atom_site_fract_z
Pa1 Pa 0.000 0.000 0.000
Ni1 Ni 0.250 0.250 0.750
Sn1 Sn 0.000 0.000 0.500
```

(9)
## PaNi3Sn (PBE)

Data for an optimized crystal structure of PaNi3Sn.

Properties
Total moment ... 0.000 μB per atom
DFT total energy ... -6.469 eV/atom
Energy of formation from the pure elements ... -301 meV/atom

Geometry as CIF:
```
data_PaNi3Sn
_chemical_formula_sum 'Pa4 Ni12 Sn4'
_symmetry_space_group_name_H-M 'C m c m'
_symmetry_Int_Tables_number 63
_symmetry_space_group_name_Hall '-C 2c 2'
_cell_length_a 3.445
_cell_length_b 24.678
_cell_length_c 3.920
_cell_angle_alpha 90.00
_cell_angle_beta 90.00
_cell_angle_gamma 90.00
loop_
_atom_site_label
_atom_site_type_symbol
_atom_site_fract_x
_atom_site_fract_y
_atom_site_fract_z
Pa1 Pa 0.000 0.078 0.250
Ni1 Ni 0.000 0.314 0.750
Ni2 Ni 0.000 0.376 0.250
Ni3 Ni 0.000 0.472 0.250
Sn1 Sn 0.000 0.206 0.750
```

(10)
## PaNi4Sn3 (PBE)

Data for an optimized crystal structure of PaNi4Sn3.

Properties
Total moment ... 0.000 μB per atom
DFT total energy ... -5.658 eV/atom
Energy of formation from the pure elements ... -79 meV/atom

Geometry as CIF:
```
data_PaNi4Sn3
_chemical_formula_sum 'Pa2 Ni8 Sn6'
_symmetry_space_group_name_H-M 'C 1 2/m 1'
_symmetry_Int_Tables_number 12
_symmetry_space_group_name_Hall '-C 2y'
_cell_length_a 16.277
_cell_length_b 3.848
_cell_length_c 5.134
_cell_angle_alpha 90.00
_cell_angle_beta 108.26
_cell_angle_gamma 90.00
loop_
_atom_site_label
_atom_site_type_symbol
_atom_site_fract_x
_atom_site_fract_y
_atom_site_fract_z
Pa1 Pa 0.000 0.000 0.000
Ni1 Ni 0.132 0.000 0.400
Ni2 Ni 0.133 0.000 0.868
Sn1 Sn 0.000 0.500 0.500
Sn2 Sn 0.210 0.500 0.210
```

(11)
## Pa2Ni6Sn (PBE)

Data for an optimized crystal structure of Pa2Ni6Sn.

Properties
Total moment ... 0.000 μB per atom
DFT total energy ... -6.570 eV/atom
Energy of formation from the pure elements ... -161 meV/atom

Geometry as CIF:
```
data_Pa2Ni6Sn
_chemical_formula_sum 'Pa4 Ni12 Sn2'
_symmetry_space_group_name_H-M 'I m m m'
_symmetry_Int_Tables_number 71
_symmetry_space_group_name_Hall '-I 2 2'
_cell_length_a 3.385
_cell_length_b 6.501
_cell_length_c 13.496
_cell_angle_alpha 90.00
_cell_angle_beta 90.00
_cell_angle_gamma 90.00
loop_
_atom_site_label
_atom_site_type_symbol
_atom_site_fract_x
_atom_site_fract_y
_atom_site_fract_z
Pa1 Pa 0.000 0.000 0.137
Ni1 Ni 0.000 0.193 0.320
Ni2 Ni 0.000 0.309 0.500
Sn1 Sn 0.000 0.500 0.000
```

(12)
## Pa3Ni8Sn (PBE)

Data for an optimized crystal structure of Pa3Ni8Sn.

Properties
Total moment ... 0.000 μB per atom
DFT total energy ... -6.929 eV/atom
Energy of formation from the pure elements ... -368 meV/atom

Geometry as CIF:
```
data_Pa3Ni8Sn
_chemical_formula_sum 'Pa3 Ni8 Sn1'
_symmetry_space_group_name_H-M 'P 3 m 1'
_symmetry_Int_Tables_number 156
_symmetry_space_group_name_Hall 'P 3 -2"'
_cell_length_a 5.0066
_cell_length_b 5.0066
_cell_length_c 8.2875
_cell_angle_alpha 90.00
_cell_angle_beta 90.00
_cell_angle_gamma 120.00
loop_
_atom_site_label
_atom_site_type_symbol
_atom_site_fract_x
_atom_site_fract_y
_atom_site_fract_z
Pa1 Pa 0.0000 0.0000 0.0000
Pa2 Pa 0.0000 0.0000 0.3742
Pa3 Pa 0.3333 0.6667 0.8767
Ni1 Ni 0.3345 0.1673 0.6966
Ni2 Ni 0.5006 0.0011 0.1968
Ni3 Ni 0.6667 0.3333 0.4495
Ni4 Ni 0.6667 0.3333 0.9518
Sn1 Sn 0.3333 0.6667 0.4999
```